No. 1
VASP calculation (PBE-GGA) on an optimized crystal structure of CrHgW2.

Cell: 5.0393 5.0393 2.7545 Å, 90.00 90.00 113.40°
Atoms (fractional coordinates):
W 0.5000 0.5000 0.0000
Hg 0.0000 0.5000 0.5000
W 0.0000 0.0000 0.0000
Cr 0.5000 0.0000 0.5000

Summary:
magnetic moment = 0.00 μB per formula unit
crystal system = orthorhombic
formation energy from the elements = 0.733 eV/atom

=====

No. 2
VASP calculation (PBE-GGA) on an optimized crystal structure of TbSmIrRu.

Cell: 4.8902 4.8902 4.8902 Å, 60.00 60.00 60.00°
Atoms (fractional coordinates):
Tb 0.5000 0.5000 0.5000
Sm 0.0000 0.0000 0.0000
Ru 0.7500 0.7500 0.7500
Ir 0.2500 0.2500 0.2500

Summary:
magnetic moment = 0.00 μB per formula unit
crystal system = cubic
formation energy from the elements = -0.487 eV/atom

=====

No. 3
VASP calculation (PBE-GGA) on an optimized crystal structure of TbHoNiPd.

Cell: 4.8852 4.8852 4.8852 Å, 60.00 60.00 60.00°
Atoms (fractional coordinates):
Tb 0.0000 0.0000 0.0000
Ni 0.2500 0.2500 0.2500
Ho 0.5000 0.5000 0.5000
Pd 0.7500 0.7500 0.7500

Summary:
energy relative to the lowest polymorph listed for this composition = 48.8 meV per atom
magnetic moment = 0.00 μB per formula unit
crystal system = cubic
formation energy from the elements = -0.621 eV/atom

=====

No. 4
VASP calculation (PBE-GGA) on an optimized crystal structure of Y8Ho6Tm.

Cell: 9.0230 9.0230 8.6232 Å, 58.45 58.45 60.00°
Atoms (fractional coordinates):
Ho 0.5422 0.1131 0.1214
Y 0.2787 0.8908 0.5740
Ho 0.8869 0.7768 0.8786
Ho 0.1131 0.2232 0.1214
Y 0.5768 0.5768 0.2696
Y 0.7435 0.7213 0.4260
Ho 0.4578 0.8869 0.8786
Ho 0.7768 0.4578 0.8786
Y 0.2565 0.2787 0.5740
Y 0.8908 0.2565 0.5740
Tm 0.0000 0.0000 0.0000
Ho 0.2232 0.5422 0.1214
Y 0.4232 0.4232 0.7304
Y 0.7213 0.1092 0.4260
Y 0.1092 0.7435 0.4260

Summary:
energy relative to the lowest polymorph listed for this composition = 0.0 meV per atom
magnetic moment = 0.00 μB per formula unit
crystal system = trigonal
formation energy from the elements = 0.130 eV/atom

=====

No. 5
VASP calculation (PBE-GGA) on an optimized crystal structure of CsNa2ZnPb.

Cell: 5.9986 5.9986 5.3726 Å, 90.00 90.00 90.00°
Atoms (fractional coordinates):
Cs 0.5000 0.5000 0.5000
Pb 0.0000 0.0000 0.5000
Na 0.5000 0.0000 0.0000
Zn 0.0000 0.0000 0.0000
Na 0.0000 0.5000 0.0000

Summary:
energy relative to the lowest polymorph listed for this composition = 15.8 meV per atom
magnetic moment = 0.00 μB per formula unit
crystal system = tetragonal
formation energy from the elements = 0.032 eV/atom

=====

No. 6
VASP calculation (PBE-GGA) on an optimized crystal structure of Nd6Sm2Hg.

Cell: 3.7523 9.6765 9.6746 Å, 120.01 90.00 90.00°
Atoms (fractional coordinates):
Sm 0.0000 0.3332 0.6665
Nd 0.0000 0.9999 0.2702
Nd 0.5000 0.0000 0.6203
Nd 0.0000 0.7297 0.7298
Sm 0.0000 0.6667 0.3335
Nd 0.5000 0.6202 0.0000
Nd 0.5000 0.3797 0.3797
Hg 0.5000 0.0001 0.0000
Nd 0.0000 0.2705 0.0000

Summary:
energy relative to the lowest polymorph listed for this composition = 0.0 meV per atom
magnetic moment = 0.00 μB per formula unit
crystal system = hexagonal
formation energy from the elements = -0.096 eV/atom